[1]
Material: NiW2Cl
Method: DFT, PBE
State: optimized geometry

## Properties
E   -7.56 eV/atom
Polymorph energy (0 for the lowest one)   0.483 eV/atom
Total magnetization   0.00 μB/cell
ΔE_f (raw)   0.821 eV per atom

Cell and atoms, written as CIF:
```
data_NiW2Cl
_chemical_formula_sum 'Ni4 W8 Cl4'
_cell_length_a 6.081
_cell_length_b 6.081
_cell_length_c 6.081
_cell_angle_alpha 90.00
_cell_angle_beta 90.00
_cell_angle_gamma 90.00
_symmetry_space_group_name_H-M 'F m -3 m'
_symmetry_Int_Tables_number 225
_symmetry_space_group_name_Hall '-F 4 2 3'
loop_
_atom_site_label
_atom_site_fract_x
_atom_site_fract_y
_atom_site_fract_z
Ni1 0.000 0.000 0.000
W1 0.250 0.250 0.250
Cl1 0.000 0.000 0.500
```


[2]
Material: NiW2Cl
Method: DFT, PBE
State: optimized geometry

## Properties
E   -7.37 eV/atom
Polymorph energy (0 for the lowest one)   0.680 eV/atom
Total magnetization   0.00 μB/cell
ΔE_f (raw)   1.018 eV per atom

Cell and atoms, written as CIF:
```
data_NiW2Cl
_chemical_formula_sum 'Ni2 W4 Cl2'
_cell_length_a 5.446
_cell_length_b 8.002
_cell_length_c 2.719
_cell_angle_alpha 90.00
_cell_angle_beta 90.00
_cell_angle_gamma 90.00
_symmetry_space_group_name_H-M 'C m m m'
_symmetry_Int_Tables_number 65
_symmetry_space_group_name_Hall '-C 2 2'
loop_
_atom_site_label
_atom_site_fract_x
_atom_site_fract_y
_atom_site_fract_z
Ni1 0.000 0.000 0.000
W1 0.250 0.250 0.500
Cl1 0.000 0.500 0.000
```


[3]
Material: NiW2Cl
Method: DFT, PBE
State: optimized geometry

## Properties
E   -7.67 eV/atom
Polymorph energy (0 for the lowest one)   0.374 eV/atom
Total magnetization   0.00 μB/cell
ΔE_f (raw)   0.712 eV per atom

Cell and atoms, written as CIF:
```
data_NiW2Cl
_chemical_formula_sum 'Ni2 W4 Cl2'
_cell_length_a 2.960
_cell_length_b 4.696
_cell_length_c 8.784
_cell_angle_alpha 90.00
_cell_angle_beta 90.00
_cell_angle_gamma 90.00
_symmetry_space_group_name_H-M 'C m m m'
_symmetry_Int_Tables_number 65
_symmetry_space_group_name_Hall '-C 2 2'
loop_
_atom_site_label
_atom_site_fract_x
_atom_site_fract_y
_atom_site_fract_z
Ni1 0.000 0.000 0.000
W1 0.000 0.500 0.239
Cl1 0.000 0.000 0.500
```


[4]
Material: Ni3WCl
Method: DFT, PBE
State: optimized geometry

## Properties
E   -4.94 eV/atom
Polymorph energy (0 for the lowest one)   0.367 eV/atom
Total magnetization   0.00 μB/cell
ΔE_f (raw)   1.489 eV per atom

Cell and atoms, written as CIF:
```
data_Ni3WCl
_chemical_formula_sum 'Ni3 W1 Cl1'
_cell_length_a 4.597
_cell_length_b 4.597
_cell_length_c 4.597
_cell_angle_alpha 90.00
_cell_angle_beta 90.00
_cell_angle_gamma 90.00
_symmetry_space_group_name_H-M 'P m -3 m'
_symmetry_Int_Tables_number 221
_symmetry_space_group_name_Hall '-P 4 2 3'
loop_
_atom_site_label
_atom_site_fract_x
_atom_site_fract_y
_atom_site_fract_z
Ni1 0.000 0.000 0.500
W1 0.000 0.000 0.000
Cl1 0.500 0.500 0.500
```


[5]
Material: NiW2Cl
Method: DFT, PBE
State: optimized geometry

## Properties
E   -7.97 eV/atom
Polymorph energy (0 for the lowest one)   0.077 eV/atom
Total magnetization   0.00 μB/cell
ΔE_f (raw)   0.415 eV per atom

Cell and atoms, written as CIF:
```
data_NiW2Cl
_chemical_formula_sum 'Ni1 W2 Cl1'
_cell_length_a 2.813
_cell_length_b 2.813
_cell_length_c 8.742
_cell_angle_alpha 90.00
_cell_angle_beta 90.00
_cell_angle_gamma 90.00
_symmetry_space_group_name_H-M 'P 4 m m'
_symmetry_Int_Tables_number 99
loop_
_symmetry_equiv_pos_as_xyz
'x,y,z'
'-y,x,z'
'-x,-y,z'
'y,-x,z'
'-x,y,z'
'y,x,z'
'x,-y,z'
'-y,-x,z'
loop_
_atom_site_label
_atom_site_fract_x
_atom_site_fract_y
_atom_site_fract_z
Ni1 0.000 0.000 0.000
W1 0.000 0.000 0.428
W2 0.500 0.500 0.185
Cl1 0.500 0.500 0.625
```


[6]
Material: NiWCl2
Method: DFT, PBE
State: optimized geometry

## Properties
E   -4.70 eV/atom
Polymorph energy (0 for the lowest one)   1.058 eV/atom
Total magnetization   0.01 μB/cell
ΔE_f (raw)   0.904 eV per atom

Cell and atoms, written as CIF:
```
data_NiWCl2
_chemical_formula_sum 'Ni1 W1 Cl2'
_cell_length_a 3.102
_cell_length_b 3.102
_cell_length_c 5.954
_cell_angle_alpha 90.00
_cell_angle_beta 90.00
_cell_angle_gamma 90.00
_symmetry_space_group_name_H-M 'P 4/m m m'
_symmetry_Int_Tables_number 123
_symmetry_space_group_name_Hall '-P 4 2'
loop_
_atom_site_label
_atom_site_fract_x
_atom_site_fract_y
_atom_site_fract_z
Ni1 0.000 0.000 0.000
W1 0.000 0.000 0.500
Cl1 0.500 0.500 0.252
```


[7]
Material: NiW2Cl
Method: DFT, PBE
State: optimized geometry

## Properties
E   -7.27 eV/atom
Polymorph energy (0 for the lowest one)   0.779 eV/atom
Total magnetization   0.00 μB/cell
ΔE_f (raw)   1.117 eV per atom

Cell and atoms, written as CIF:
```
data_NiW2Cl
_chemical_formula_sum 'Ni2 W4 Cl2'
_cell_length_a 3.849
_cell_length_b 3.849
_cell_length_c 8.076
_cell_angle_alpha 90.00
_cell_angle_beta 90.00
_cell_angle_gamma 90.00
_symmetry_space_group_name_H-M 'I -4 m 2'
_symmetry_Int_Tables_number 119
_symmetry_space_group_name_Hall 'I -4 -2'
loop_
_atom_site_label
_atom_site_fract_x
_atom_site_fract_y
_atom_site_fract_z
Ni1 0.000 0.000 0.000
W1 0.000 0.000 0.500
W2 0.000 0.500 0.750
Cl1 0.000 0.500 0.250
```


[8]
Material: NiW2Cl
Method: DFT, PBE
State: optimized geometry

## Properties
E   -7.25 eV/atom
Polymorph energy (0 for the lowest one)   0.792 eV/atom
Total magnetization   4.10 μB/cell
ΔE_f (raw)   1.130 eV per atom

Cell and atoms, written as CIF:
```
data_NiW2Cl
_chemical_formula_sum 'Ni4 W8 Cl4'
_cell_length_a 6.271
_cell_length_b 6.271
_cell_length_c 6.271
_cell_angle_alpha 90.00
_cell_angle_beta 90.00
_cell_angle_gamma 90.00
_symmetry_space_group_name_H-M 'F -4 3 m'
_symmetry_Int_Tables_number 216
_symmetry_space_group_name_Hall 'F -4 2 3'
loop_
_atom_site_label
_atom_site_fract_x
_atom_site_fract_y
_atom_site_fract_z
Ni1 0.000 0.000 0.000
W1 0.000 0.000 0.500
W2 0.250 0.250 0.250
Cl1 0.250 0.250 0.750
```


[9]
Material: NiW2Cl
Method: DFT, PBE
State: optimized geometry

## Properties
E   -7.70 eV/atom
Polymorph energy (0 for the lowest one)   0.347 eV/atom
Total magnetization   0.00 μB/cell
ΔE_f (raw)   0.685 eV per atom

Cell and atoms, written as CIF:
```
data_NiW2Cl
_chemical_formula_sum 'Ni1 W2 Cl1'
_cell_length_a 2.915
_cell_length_b 2.915
_cell_length_c 6.726
_cell_angle_alpha 90.00
_cell_angle_beta 90.00
_cell_angle_gamma 90.00
_symmetry_space_group_name_H-M 'P 4/m m m'
_symmetry_Int_Tables_number 123
_symmetry_space_group_name_Hall '-P 4 2'
loop_
_atom_site_label
_atom_site_fract_x
_atom_site_fract_y
_atom_site_fract_z
Ni1 0.000 0.000 0.000
W1 0.500 0.500 0.232
Cl1 0.000 0.000 0.500
```


[10]
Material: NiW2Cl
Method: DFT, PBE
State: optimized geometry

## Properties
E   -7.19 eV/atom
Polymorph energy (0 for the lowest one)   0.854 eV/atom
Total magnetization   0.00 μB/cell
ΔE_f (raw)   1.192 eV per atom

Cell and atoms, written as CIF:
```
data_NiW2Cl
_chemical_formula_sum 'Ni1 W2 Cl1'
_cell_length_a 3.746
_cell_length_b 3.746
_cell_length_c 4.394
_cell_angle_alpha 90.00
_cell_angle_beta 90.00
_cell_angle_gamma 90.00
_symmetry_space_group_name_H-M 'P 4/m m m'
_symmetry_Int_Tables_number 123
_symmetry_space_group_name_Hall '-P 4 2'
loop_
_atom_site_label
_atom_site_fract_x
_atom_site_fract_y
_atom_site_fract_z
Ni1 0.000 0.000 0.000
W1 0.000 0.500 0.500
Cl1 0.500 0.500 0.000
```


[11]
Material: NiWCl2
Method: DFT, PBE
State: optimized geometry

## Properties
E   -5.04 eV/atom
Polymorph energy (0 for the lowest one)   0.722 eV/atom
Total magnetization   0.03 μB/cell
ΔE_f (raw)   0.568 eV per atom

Cell and atoms, written as CIF:
```
data_NiWCl2
_chemical_formula_sum 'Ni1 W1 Cl2'
_cell_length_a 2.902
_cell_length_b 4.083
_cell_length_c 5.567
_cell_angle_alpha 90.00
_cell_angle_beta 101.65
_cell_angle_gamma 90.00
_symmetry_space_group_name_H-M 'P 1 2/m 1'
_symmetry_Int_Tables_number 10
loop_
_symmetry_equiv_pos_as_xyz
'x,y,z'
'-x,-y,-z'
'-x,y,-z'
'x,-y,z'
loop_
_atom_site_label
_atom_site_fract_x
_atom_site_fract_y
_atom_site_fract_z
Ni1 0.000 0.000 0.000
W1 0.000 0.000 0.500
Cl1 0.138 0.500 0.753
```


[12]
Material: NiW2Cl
Method: DFT, PBE
State: optimized geometry

## Properties
E   -7.87 eV/atom
Polymorph energy (0 for the lowest one)   0.173 eV/atom
Total magnetization   0.00 μB/cell
ΔE_f (raw)   0.511 eV per atom

Cell and atoms, written as CIF:
```
data_NiW2Cl
_chemical_formula_sum 'Ni1 W2 Cl1'
_cell_length_a 3.200
_cell_length_b 3.200
_cell_length_c 6.518
_cell_angle_alpha 90.00
_cell_angle_beta 90.00
_cell_angle_gamma 90.00
_symmetry_space_group_name_H-M 'P 4 m m'
_symmetry_Int_Tables_number 99
loop_
_symmetry_equiv_pos_as_xyz
'x,y,z'
'-y,x,z'
'-x,-y,z'
'y,-x,z'
'-x,y,z'
'y,x,z'
'x,-y,z'
'-y,-x,z'
loop_
_atom_site_label
_atom_site_fract_x
_atom_site_fract_y
_atom_site_fract_z
Ni1 0.000 0.000 0.000
W1 0.000 0.000 0.413
W2 0.500 0.500 0.205
Cl1 0.500 0.500 0.795
```


[13]
Material: NiW2Cl
Method: DFT, PBE
State: optimized geometry

## Properties
E   -8.05 eV/atom
Polymorph energy (0 for the lowest one)   0.000 eV/atom
Total magnetization   0.00 μB/cell
ΔE_f (raw)   0.338 eV per atom

Cell and atoms, written as CIF:
```
data_NiW2Cl
_chemical_formula_sum 'Ni1 W2 Cl1'
_cell_length_a 3.219
_cell_length_b 3.079
_cell_length_c 6.948
_cell_angle_alpha 90.00
_cell_angle_beta 92.00
_cell_angle_gamma 90.00
_symmetry_space_group_name_H-M 'P 1 m 1'
_symmetry_Int_Tables_number 6
loop_
_symmetry_equiv_pos_as_xyz
'x,y,z'
'x,-y,z'
loop_
_atom_site_label
_atom_site_fract_x
_atom_site_fract_y
_atom_site_fract_z
Ni1 0.000 0.000 0.000
W1 0.524 0.500 0.200
W2 0.986 0.000 0.407
Cl1 0.990 0.500 0.708
```


[14]
Material: NiWCl2
Method: DFT, PBE
State: optimized geometry

## Properties
E   -4.84 eV/atom
Polymorph energy (0 for the lowest one)   0.918 eV/atom
Total magnetization   0.48 μB/cell
ΔE_f (raw)   0.763 eV per atom

Cell and atoms, written as CIF:
```
data_NiWCl2
_chemical_formula_sum 'Ni1 W1 Cl2'
_cell_length_a 2.840
_cell_length_b 4.096
_cell_length_c 5.409
_cell_angle_alpha 90.00
_cell_angle_beta 90.00
_cell_angle_gamma 90.00
_symmetry_space_group_name_H-M 'P m m m'
_symmetry_Int_Tables_number 47
loop_
_symmetry_equiv_pos_as_xyz
'x,y,z'
'-x,-y,-z'
'-x,-y,z'
'x,y,-z'
'x,-y,-z'
'-x,y,z'
'-x,y,-z'
'x,-y,z'
loop_
_atom_site_label
_atom_site_fract_x
_atom_site_fract_y
_atom_site_fract_z
Ni1 0.000 0.000 0.000
W1 0.500 0.000 0.500
Cl1 0.000 0.500 0.500
Cl2 0.500 0.500 0.000
```


[15]
Material: NiWCl2
Method: DFT, PBE
State: optimized geometry

## Properties
E   -5.56 eV/atom
Polymorph energy (0 for the lowest one)   0.203 eV/atom
Total magnetization   0.00 μB/cell
ΔE_f (raw)   0.049 eV per atom

Cell and atoms, written as CIF:
```
data_NiWCl2
_chemical_formula_sum 'Ni1 W1 Cl2'
_cell_length_a 2.987
_cell_length_b 2.987
_cell_length_c 7.988
_cell_angle_alpha 90.00
_cell_angle_beta 90.00
_cell_angle_gamma 90.00
_symmetry_space_group_name_H-M 'P 4 m m'
_symmetry_Int_Tables_number 99
loop_
_symmetry_equiv_pos_as_xyz
'x,y,z'
'-y,x,z'
'-x,-y,z'
'y,-x,z'
'-x,y,z'
'y,x,z'
'x,-y,z'
'-y,-x,z'
loop_
_atom_site_label
_atom_site_fract_x
_atom_site_fract_y
_atom_site_fract_z
Ni1 0.000 0.000 0.000
W1 0.500 0.500 0.185
Cl1 0.000 0.000 0.392
Cl2 0.500 0.500 0.826
```


[16]
Material: Ni4WCl
Method: DFT, PBE
State: optimized geometry

## Properties
E   -5.77 eV/atom
Total magnetization   0.00 μB/cell
ΔE_f (raw)   0.556 eV per atom

Cell and atoms, written as CIF:
```
data_Ni4WCl
_chemical_formula_sum 'Ni16 W4 Cl4'
_cell_length_a 6.747
_cell_length_b 6.747
_cell_length_c 6.747
_cell_angle_alpha 90.00
_cell_angle_beta 90.00
_cell_angle_gamma 90.00
_symmetry_space_group_name_H-M 'F -4 3 m'
_symmetry_Int_Tables_number 216
_symmetry_space_group_name_Hall 'F -4 2 3'
loop_
_atom_site_label
_atom_site_fract_x
_atom_site_fract_y
_atom_site_fract_z
Ni1 0.124 0.124 0.124
W1 0.250 0.250 0.750
Cl1 0.000 0.000 0.500
```


[17]
Material: NiW2Cl
Method: DFT, PBE
State: optimized geometry

## Properties
E   -8.03 eV/atom
Polymorph energy (0 for the lowest one)   0.014 eV/atom
Total magnetization   0.00 μB/cell
ΔE_f (raw)   0.352 eV per atom

Cell and atoms, written as CIF:
```
data_NiW2Cl
_chemical_formula_sum 'Ni3 W6 Cl3'
_cell_length_a 2.8662
_cell_length_b 2.8662
_cell_length_c 25.9773
_cell_angle_alpha 90.00
_cell_angle_beta 90.00
_cell_angle_gamma 120.00
_symmetry_space_group_name_H-M 'R 3 m'
_symmetry_Int_Tables_number 160
_symmetry_space_group_name_Hall 'R 3 -2"'
loop_
_atom_site_label
_atom_site_fract_x
_atom_site_fract_y
_atom_site_fract_z
Ni1 0.0000 0.0000 0.0000
W1 0.0000 0.0000 0.5017
W2 0.0000 0.0000 0.7419
Cl1 0.0000 0.0000 0.2421
```


[18]
Material: NiW2Cl
Method: DFT, PBE
State: optimized geometry

## Properties
E   -7.70 eV/atom
Polymorph energy (0 for the lowest one)   0.347 eV/atom
Total magnetization   0.00 μB/cell
ΔE_f (raw)   0.685 eV per atom

Cell and atoms, written as CIF:
```
data_NiW2Cl
_chemical_formula_sum 'Ni2 W4 Cl2'
_cell_length_a 9.559
_cell_length_b 2.825
_cell_length_c 4.670
_cell_angle_alpha 90.00
_cell_angle_beta 111.66
_cell_angle_gamma 90.00
_symmetry_space_group_name_H-M 'C 1 m 1'
_symmetry_Int_Tables_number 8
loop_
_symmetry_equiv_pos_as_xyz
'x,y,z'
'x,-y,z'
'x+1/2,y+1/2,z'
'x+1/2,-y+1/2,z'
loop_
_atom_site_label
_atom_site_fract_x
_atom_site_fract_y
_atom_site_fract_z
Ni1 0.000 0.000 0.000
W1 0.026 0.500 0.491
W2 0.240 0.500 0.160
Cl1 0.255 0.000 0.735
```


[19]
Material: NiW2Cl
Method: DFT, PBE
State: optimized geometry

## Properties
E   -7.66 eV/atom
Polymorph energy (0 for the lowest one)   0.384 eV/atom
Total magnetization   0.00 μB/cell
ΔE_f (raw)   0.722 eV per atom

Cell and atoms, written as CIF:
```
data_NiW2Cl
_chemical_formula_sum 'Ni2 W4 Cl2'
_cell_length_a 8.487
_cell_length_b 2.786
_cell_length_c 5.164
_cell_angle_alpha 90.00
_cell_angle_beta 101.22
_cell_angle_gamma 90.00
_symmetry_space_group_name_H-M 'C 1 2/m 1'
_symmetry_Int_Tables_number 12
loop_
_symmetry_equiv_pos_as_xyz
'x,y,z'
'-x,-y,-z'
'-x,y,-z'
'x,-y,z'
'x+1/2,y+1/2,z'
'-x+1/2,-y+1/2,-z'
'-x+1/2,y+1/2,-z'
'x+1/2,-y+1/2,z'
loop_
_atom_site_label
_atom_site_fract_x
_atom_site_fract_y
_atom_site_fract_z
Ni1 0.000 0.000 0.000
W1 0.245 0.500 0.232
Cl1 0.000 0.500 0.500
```


[20]
Material: NiWCl2
Method: DFT, PBE
State: optimized geometry

## Properties
E   -5.63 eV/atom
Polymorph energy (0 for the lowest one)   0.128 eV/atom
Total magnetization   0.00 μB/cell
ΔE_f (raw)   -0.026 eV per atom

Cell and atoms, written as CIF:
```
data_NiWCl2
_chemical_formula_sum 'Ni2 W2 Cl4'
_cell_length_a 5.508
_cell_length_b 3.160
_cell_length_c 8.633
_cell_angle_alpha 90.00
_cell_angle_beta 101.43
_cell_angle_gamma 90.00
_symmetry_space_group_name_H-M 'C 1 m 1'
_symmetry_Int_Tables_number 8
loop_
_symmetry_equiv_pos_as_xyz
'x,y,z'
'x,-y,z'
'x+1/2,y+1/2,z'
'x+1/2,-y+1/2,z'
loop_
_atom_site_label
_atom_site_fract_x
_atom_site_fract_y
_atom_site_fract_z
Ni1 0.000 0.000 0.000
W1 0.261 0.500 0.204
Cl1 0.286 0.000 0.822
Cl2 0.478 0.000 0.411
```